The following is a GGA-PBE calculation of an optimized crystal structure of Gd2CdBr, from the Alexandria database.

POSCAR file:
```
Gd2CdBr
1.0
3.5391 0.0000 0.0000
-1.7696 3.0650 0.0000
0.0000 0.0000 33.4132
Gd Cd Br
6 3 3
direct
0.0000 0.0000 0.0962
0.0000 0.0000 0.9038
0.3333 0.6667 0.5705
0.3333 0.6667 0.7629
0.6667 0.3333 0.2371
0.6667 0.3333 0.4295
0.0000 0.0000 0.0000
0.3333 0.6667 0.6667
0.6667 0.3333 0.3333
0.0000 0.0000 0.5000
0.3333 0.6667 0.1667
0.6667 0.3333 0.8333
```

Energy relative to the elements, uncorrected in eV/f.u.: -1.26
Final energy in eV/atom: -8.00
Offset from the most stable computed form in eV per formula unit: 1.214


The following is a GGA-PBE calculation of an optimized crystal structure of GdCdBr2, from the Alexandria database.

POSCAR file:
```
GdCdBr2
1.0
3.9151 0.0000 0.0000
-1.9575 3.3906 0.0000
0.0000 0.0000 34.6483
Gd Cd Br
3 3 6
direct
0.0000 0.0000 0.0000
0.3333 0.6667 0.6667
0.6667 0.3333 0.3333
0.0000 0.0000 0.5000
0.3333 0.6667 0.1667
0.6667 0.3333 0.8333
0.0000 0.0000 0.3869
0.0000 0.0000 0.6131
0.3333 0.6667 0.0535
0.3333 0.6667 0.2798
0.6667 0.3333 0.7202
0.6667 0.3333 0.9465
```

Energy relative to the elements, uncorrected in eV/f.u.: -4.36
Final energy in eV/atom: -5.67


The following is a GGA-PBE calculation of an optimized crystal structure of Gd2CdBr, from the Alexandria database.

POSCAR file:
```
Gd2CdBr
1.0
3.5404 0.0000 0.0000
0.0000 3.5404 0.0000
0.0000 0.0000 8.4880
Gd Cd Br
2 1 1
direct
0.0000 0.0000 0.2408
0.0000 0.0000 0.7592
0.5000 0.5000 0.0000
0.5000 0.5000 0.5000
```

Energy relative to the elements, uncorrected in eV/f.u.: -2.47
Final energy in eV/atom: -8.31
Offset from the most stable computed form in eV per formula unit: 0.000


The following is a GGA-PBE calculation of an optimized crystal structure of CdGe2Br6, from the Alexandria database.

POSCAR file:
```
CdGe2Br6
1.0
13.2602 -4.2199 0.0000
13.2602 4.2199 0.0000
-1.3498 0.0000 6.9452
Cd Ge Br
2 4 12
direct
0.9998 0.0002 0.2500
0.0002 0.9998 0.7500
0.1296 0.3744 0.7685
0.3744 0.1296 0.2685
0.6256 0.8704 0.7315
0.8704 0.6256 0.2315
0.0324 0.3417 0.0569
0.1151 0.7785 0.4618
0.2082 0.4105 0.4748
0.2215 0.8849 0.0382
0.3417 0.0324 0.5569
0.4105 0.2082 0.9748
0.5895 0.7918 0.0252
0.6583 0.9676 0.4431
0.7785 0.1151 0.9618
0.7918 0.5895 0.5252
0.8849 0.2215 0.5382
0.9676 0.6583 0.9431
```

Energy relative to the elements, uncorrected in eV/f.u.: -5.82
Final energy in eV/atom: -2.89
Offset from the most stable computed form in eV per formula unit: 0.075


The following is a GGA-PBE calculation of an optimized crystal structure of CdGe2Br6, from the Alexandria database.

POSCAR file:
```
CdGe2Br6
1.0
7.5305 -2.0300 0.0000
7.5305 2.0300 0.0000
-3.6086 0.0000 9.8197
Cd Ge Br
1 2 6
direct
0.0000 0.0000 0.0000
0.3326 0.3326 0.6648
0.6674 0.6674 0.3352
0.0272 0.0272 0.2821
0.3079 0.3079 0.3836
0.3621 0.3621 0.9496
0.6379 0.6379 0.0504
0.6921 0.6921 0.6164
0.9728 0.9728 0.7179
```

Energy relative to the elements, uncorrected in eV/f.u.: -5.90
Final energy in eV/atom: -2.90
Offset from the most stable computed form in eV per formula unit: 0.000


The following is a GGA-PBE calculation of an optimized crystal structure of Cd2GeBr, from the Alexandria database.

POSCAR file:
```
Cd2GeBr
1.0
6.5289 0.0000 0.0000
0.0000 6.5289 0.0000
0.0000 0.0000 12.5153
Cd Ge Br
8 4 4
direct
0.2089 0.2500 0.1250
0.2500 0.7089 0.3750
0.2500 0.7911 0.8750
0.2911 0.2500 0.6250
0.7089 0.7500 0.6250
0.7500 0.2089 0.8750
0.7500 0.2911 0.3750
0.7911 0.7500 0.1250
0.0000 0.0000 0.0000
0.0000 0.5000 0.2500
0.5000 0.0000 0.7500
0.5000 0.5000 0.5000
0.0000 0.0000 0.5000
0.0000 0.5000 0.7500
0.5000 0.0000 0.2500
0.5000 0.5000 0.0000
```

Energy relative to the elements, uncorrected in eV/f.u.: -0.22
Final energy in eV/atom: -2.08
Offset from the most stable computed form in eV per formula unit: 0.000


The following is a GGA-PBE calculation of an optimized crystal structure of CdGeBr4, from the Alexandria database.

POSCAR file:
```
CdGeBr4
1.0
15.3377 0.0000 0.0000
0.0000 4.0630 0.0000
-3.2195 0.0000 6.2960
Cd Ge Br
2 2 8
direct
0.0000 0.0000 0.0000
0.5000 0.5000 0.0000
0.0000 0.5000 0.5000
0.5000 0.0000 0.5000
0.1156 0.5000 0.2781
0.1167 0.0000 0.7841
0.3833 0.5000 0.2159
0.3844 0.0000 0.7219
0.6156 0.0000 0.2781
0.6167 0.5000 0.7841
0.8833 0.0000 0.2159
0.8844 0.5000 0.7219
```

Energy relative to the elements, uncorrected in eV/f.u.: -4.22
Final energy in eV/atom: -2.74
Offset from the most stable computed form in eV per formula unit: 0.000


The following is a GGA-PBE calculation of an optimized crystal structure of CdGeBr, from the Alexandria database.

POSCAR file:
```
CdGeBr
1.0
7.2736 0.0000 0.0000
0.0000 3.8079 0.0000
-0.3652 0.0000 12.1842
Cd Ge Br
4 4 4
direct
0.1727 0.0000 0.2798
0.3273 0.5000 0.7202
0.6727 0.5000 0.2798
0.8273 0.0000 0.7202
0.1545 0.5000 0.4554
0.3455 0.0000 0.5446
0.6545 0.0000 0.4554
0.8455 0.5000 0.5446
0.1449 0.0000 0.8518
0.3551 0.5000 0.1482
0.6449 0.5000 0.8518
0.8551 0.0000 0.1482
```

Energy relative to the elements, uncorrected in eV/f.u.: -0.84
Final energy in eV/atom: -2.68


The following is a GGA-PBE calculation of an optimized crystal structure of CdGe2Br8, from the Alexandria database.

POSCAR file:
```
CdGe2Br8
1.0
6.4589 -5.3658 0.0000
6.4589 5.3658 0.0000
-1.1865 0.0000 6.5178
Cd Ge Br
1 2 8
direct
0.0000 0.0000 0.0000
0.2138 0.2138 0.6920
0.7862 0.7862 0.3080
0.0738 0.7246 0.2153
0.1884 0.1884 0.3065
0.2754 0.9262 0.7847
0.4014 0.4014 0.8825
0.5986 0.5986 0.1175
0.7246 0.0738 0.2153
0.8116 0.8116 0.6935
0.9262 0.2754 0.7847
```

Energy relative to the elements, uncorrected in eV/f.u.: -5.95
Final energy in eV/atom: -2.68


The following is a GGA-PBE calculation of an optimized crystal structure of Cd3GeBr, from the Alexandria database.

POSCAR file:
```
Cd3GeBr
1.0
5.3128 0.0000 0.0000
0.0000 5.3128 0.0000
0.0000 0.0000 5.3128
Cd Ge Br
3 1 1
direct
0.0000 0.0000 0.5000
0.0000 0.5000 0.0000
0.5000 0.0000 0.0000
0.0000 0.0000 0.0000
0.5000 0.5000 0.5000
```

Energy relative to the elements, uncorrected in eV/f.u.: -0.24
Final energy in eV/atom: -1.86
Offset from the most stable computed form in eV per formula unit: 0.000


The following is a GGA-PBE calculation of an optimized crystal structure of CdGeBr4, from the Alexandria database.

POSCAR file:
```
CdGeBr4
1.0
4.0155 -8.6038 0.0000
4.0155 8.6038 0.0000
-3.9922 0.0000 5.7383
Cd Ge Br
2 2 8
direct
0.0735 0.9265 0.7500
0.9265 0.0735 0.2500
0.4211 0.5789 0.2500
0.5789 0.4211 0.7500
0.0849 0.4419 0.2661
0.1823 0.2883 0.7518
0.2883 0.1823 0.2518
0.4419 0.0849 0.7661
0.5581 0.9151 0.2339
0.7117 0.8177 0.7482
0.8177 0.7117 0.2482
0.9151 0.5581 0.7339
```

Energy relative to the elements, uncorrected in eV/f.u.: -4.04
Final energy in eV/atom: -2.71
Offset from the most stable computed form in eV per formula unit: 0.179


The following is a GGA-PBE calculation of an optimized crystal structure of Cd2GeBr, from the Alexandria database.

POSCAR file:
```
Cd2GeBr
1.0
7.3400 0.0000 0.0000
0.0000 7.3400 0.0000
0.0000 0.0000 7.3400
Cd Ge Br
8 4 4
direct
0.2500 0.2500 0.2500
0.2500 0.2500 0.7500
0.2500 0.7500 0.2500
0.2500 0.7500 0.7500
0.7500 0.2500 0.2500
0.7500 0.2500 0.7500
0.7500 0.7500 0.2500
0.7500 0.7500 0.7500
0.0000 0.0000 0.0000
0.0000 0.5000 0.5000
0.5000 0.0000 0.5000
0.5000 0.5000 0.0000
0.0000 0.0000 0.5000
0.0000 0.5000 0.0000
0.5000 0.0000 0.0000
0.5000 0.5000 0.5000
```

Energy relative to the elements, uncorrected in eV/f.u.: 0.99
Final energy in eV/atom: -1.78
Offset from the most stable computed form in eV per formula unit: 1.211